CaFeReBi2 | PBE-GGA | relaxed

## Properties
SG ... P4/mmm, No. 123
ΔH_f (0 K) ... 748 meV per atom
E ... -5.387 eV per atom

The structure in POSCAR format:
```
CaFeReBi2
1.0
5.2457 0.0000 0.0000
0.0000 4.5777 0.0000
0.0000 0.0000 5.2457
Re Ca Bi Fe
1 1 2 1
Direct
0.0000 0.5000 0.0000
0.5000 0.5000 0.5000
0.0000 0.0000 0.5000
0.5000 0.0000 0.0000
0.0000 0.0000 0.0000
```